AgRhPb2 | PBE | optimized geometry

The structure belongs to space group R-3m (No. 166, hexagonal axes); the cell edges are 3.3726, 3.3726 and 27.0600 Å and the angles 90.00°, 90.00° and 120.00°. The asymmetric unit holds Ag at (0.0000, 0.0000, 0.0000), Rh at (0.0000, 0.0000, 0.5000) and Pb at (0.0000, 0.0000, 0.2434).

The value obtained for the formation energy is 0.55 eV/f.u. For the total moment, the calculation gives 0.00 μB per formula unit. The energy above the most stable polymorph in this dataset is 0.065 eV/atom.